1.
First-principles (PBE) data for a geometry-optimized CaMoW4 structure, as listed in Alexandria via LeMat-Bulk.

The structure in POSCAR format:
```
CaMoW4
1.0
0.0000 3.7995 3.7995
3.7995 0.0000 3.7995
3.7995 3.7995 0.0000
Ca Mo W
1 1 4
direct
0.7500 0.7500 0.7500
0.0000 0.0000 0.0000
0.8746 0.3751 0.3751
0.3751 0.3751 0.8746
0.3751 0.8746 0.3751
0.3751 0.3751 0.3751
```

Calculated values
As for the formation energy: 456 meV/atom. The calculation puts the total magnetization at 0.000 μB per formula unit. As for the total energy: -10.318 eV per atom. The calculation puts the density of states at the Fermi level at 2.7 states/eV/f.u.

=====

2.
First-principles (PBE) data for a geometry-optimized Ca2MoW structure, as listed in Alexandria via LeMat-Bulk.

The structure in POSCAR format:
```
Ca2MoW
1.0
3.1443 0.0031 0.0000
-1.2010 2.9059 0.0000
0.0000 0.0000 10.3502
Mo Ca W
1 2 1
direct
0.0000 0.0000 0.5387
0.0000 0.0000 0.9612
0.5000 0.5000 0.2901
0.5000 0.5000 0.7100
```

Calculated values
As for the formation energy: 659 meV/atom. The calculation puts the total magnetization at 0.000 μB per formula unit. As for the total energy: -6.288 eV per atom. The calculation puts the density of states at the Fermi level at 4.2 states/eV/f.u.

=====

3.
First-principles (PBE) data for a geometry-optimized CaMo3W structure, as listed in Alexandria via LeMat-Bulk.

The structure in POSCAR format:
```
CaMo3W
1.0
-2.1569 -4.3410 -0.2977
1.9313 -1.2528 4.2762
-3.8991 1.7807 2.2827
Mo Ca W
3 1 1
direct
0.0000 0.5000 0.0000
0.0000 0.0000 0.5000
0.5000 0.0000 0.0000
0.5000 0.5000 0.5000
0.0000 0.0000 0.0000
```

Calculated values
As for the formation energy: 1384 meV/atom. The calculation puts the total magnetization at 1.949 μB per formula unit. As for the total energy: -8.106 eV per atom. The calculation puts the density of states at the Fermi level at 8.9 states/eV/f.u.

=====

4.
First-principles (PBE) data for a geometry-optimized Ca2MoW structure, as listed in Alexandria via LeMat-Bulk.

The structure in POSCAR format:
```
Ca2MoW
1.0
-4.0701 2.9339 -6.5341
-6.7318 0.9999 4.6422
-4.6003 4.4652 -0.3229
Mo Ca W
2 4 2
direct
0.5000 0.5000 0.0000
0.2500 0.7500 0.5000
0.6218 0.1250 0.2500
0.1282 0.6250 0.2500
0.3750 0.3782 0.7500
0.8750 0.8718 0.7500
0.0000 0.0000 0.0000
0.7500 0.2500 0.5000
```

Calculated values
As for the formation energy: 1572 meV/atom. The calculation puts the total magnetization at 0.001 μB per formula unit. As for the total energy: -5.375 eV per atom. The calculation puts the density of states at the Fermi level at 5.9 states/eV/f.u.

=====

5.
First-principles (PBE) data for a geometry-optimized CaMoW structure, as listed in Alexandria via LeMat-Bulk.

The structure in POSCAR format:
```
CaMoW
1.0
-1.8322 7.5221 0.0481
-2.6354 6.5525 -2.6076
-2.2836 0.2229 1.8367
Mo Ca W
1 1 1
direct
0.3169 0.3169 0.6831
0.9997 0.9997 0.0003
0.6836 0.6836 0.3164
```

Calculated values
As for the formation energy: 661 meV/atom. The calculation puts the total magnetization at 0.000 μB per formula unit. As for the total energy: -7.934 eV per atom. The calculation puts the density of states at the Fermi level at 3.1 states/eV/f.u.

=====

6.
First-principles (PBE) data for a geometry-optimized Ca2MoW structure, as listed in Alexandria via LeMat-Bulk.

The structure in POSCAR format:
```
Ca2MoW
1.0
1.7337 -1.4419 4.5015
2.8082 3.1519 2.7437
-1.8839 2.0465 4.1966
Mo Ca W
1 2 1
direct
0.0000 0.0000 0.0000
0.2500 0.2500 0.2500
0.7500 0.7500 0.7500
0.5000 0.5000 0.5000
```

Calculated values
As for the formation energy: 1548 meV/atom. The calculation puts the total magnetization at 2.752 μB per formula unit. As for the total energy: -5.398 eV per atom. The calculation puts the density of states at the Fermi level at 9.2 states/eV/f.u.

=====

7.
First-principles (PBE) data for a geometry-optimized CaMo2W structure, as listed in Alexandria via LeMat-Bulk.

The structure in POSCAR format:
```
CaMo2W
1.0
5.5617 -0.0129 0.0000
-2.6849 4.8707 0.0000
0.0000 0.0000 2.6554
Mo Ca W
2 1 1
direct
0.0000 0.0000 0.0000
0.5000 0.5000 0.0000
0.0000 0.5000 0.5000
0.5000 0.0000 0.5000
```

Calculated values
As for the formation energy: 821 meV/atom. The calculation puts the total magnetization at 0.000 μB per formula unit. As for the total energy: -8.333 eV per atom. The calculation puts the density of states at the Fermi level at 4.3 states/eV/f.u.

=====

8.
First-principles (PBE) data for a geometry-optimized Ca2MoW structure, as listed in Alexandria via LeMat-Bulk.

The structure in POSCAR format:
```
Ca2MoW
1.0
-0.6248 -2.4474 -2.2229
1.8263 -2.1413 1.8442
-7.3370 -2.3003 4.5949
Mo Ca W
1 2 1
direct
0.0000 0.0000 0.5630
0.0000 0.0000 0.9376
0.5000 0.5000 0.3135
0.5000 0.5000 0.6859
```

Calculated values
As for the formation energy: 427 meV/atom. The calculation puts the total magnetization at 0.000 μB per formula unit. As for the total energy: -6.520 eV per atom. The calculation puts the density of states at the Fermi level at 4.9 states/eV/f.u.